[1]
The following is a DFT calculation (GGA+U) of a relaxed structure of Sr2MnOsO6.

Unit cell a=5.6546 b=5.6550 c=5.7290 alpha=119.56 beta=119.55 gamma=90.00
Closest atoms and distances in Å follow each position.
Fractional coordinates of all 10 atoms:
Sr1 0.2500 0.2497 0.0000  8 O 2.60-2.84
Sr2 0.7500 0.7503 0.0000  8 O 2.60-2.84
Mn1 0.0000 0.5000 0.5000  6 O 2.14-2.15
Os1 0.5000 0.0000 0.5000  6 O 1.94-1.95
O1 0.2117 0.8124 0.4990  1 Os 1.94, 1 Mn 2.14
O2 0.2619 0.7635 0.0239  1 Os 1.95, 1 Mn 2.15
O3 0.3136 0.2885 0.5015  1 Os 1.94, 1 Mn 2.14
O4 0.6864 0.7115 0.4985  1 Os 1.94, 1 Mn 2.14
O5 0.7381 0.2365 0.9761  1 Os 1.95, 1 Mn 2.15
O6 0.7883 0.1876 0.5010  1 Os 1.94, 1 Mn 2.14

Results
final energy	-7.188	eV per atom
magnetic moment	3.000	μB/f.u.
symmetry	P-1

---

[2]
The following is a DFT calculation (GGA+U) of a relaxed structure of SrMnOsO6.

Unit cell a=5.1644 b=5.3173 c=5.3407 alpha=89.16 beta=88.17 gamma=61.01
Closest atoms and distances in Å follow each position.
Fractional coordinates of all 9 atoms:
Sr1 0.0000 0.0000 0.0000  6 O 2.49-2.62
Mn1 0.6597 0.6816 0.5000  6 O 1.92-2.12
Os1 0.3298 0.3412 0.5000  6 O 1.86-2.00
O1 0.0129 0.3970 0.7110  1 Os 1.86, 1 Mn 2.07
O2 0.3482 0.0452 0.3009  1 Os 1.87
O3 0.3637 0.6415 0.6959  1 Mn 1.92, 1 Os 2.00
O4 0.5916 0.3976 0.2895  1 Os 1.86, 1 Mn 2.06
O5 0.6082 0.0446 0.6978  1 Os 1.88
O6 0.9965 0.6416 0.3047  1 Mn 1.92, 1 Os 2.00

Results
final energy	-7.186	eV per atom
magnetic moment	5.026	μB/f.u.
symmetry	P1

---

[3]
The following is a DFT calculation (GGA+U) of a relaxed structure of Sr2MnOsO6.

Unit cell a=5.7026 b=5.7274 c=9.8569 alpha=90.00 beta=125.22 gamma=90.00
Closest atoms and distances in Å follow each position.
Fractional coordinates of all 20 atoms:
Sr1 0.2448 0.0306 0.2503  8 O 2.53-2.83
Sr2 0.2448 0.4694 0.7503  8 O 2.53-2.83
Sr3 0.7552 0.5306 0.2497  8 O 2.53-2.83
Sr4 0.7552 0.9694 0.7497  8 O 2.53-2.83
Mn1 0.5000 0.0000 0.0000  6 O 2.15-2.16
Mn2 0.5000 0.5000 0.5000  6 O 2.15-2.16
Os1 0.0000 0.0000 0.5000  6 O 1.95
Os2 0.0000 0.5000 0.0000  6 O 1.95
O1 0.1683 0.2298 0.9656  1 Os 1.95, 1 Mn 2.16
O2 0.1683 0.2702 0.4656  1 Os 1.95, 1 Mn 2.16
O3 0.2360 0.7054 0.9672  1 Os 1.95, 1 Mn 2.16
O4 0.2360 0.7946 0.4672  1 Os 1.95, 1 Mn 2.16
O5 0.3011 0.0129 0.7373  1 Os 1.95, 1 Mn 2.15
O6 0.3011 0.4871 0.2373  1 Os 1.95, 1 Mn 2.15
O7 0.6989 0.5129 0.7627  1 Os 1.95, 1 Mn 2.15
O8 0.6989 0.9871 0.2627  1 Os 1.95, 1 Mn 2.15
O9 0.7640 0.2054 0.5328  1 Os 1.95, 1 Mn 2.16
O10 0.7640 0.2946 0.0328  1 Os 1.95, 1 Mn 2.16
O11 0.8317 0.7298 0.5344  1 Os 1.95, 1 Mn 2.16
O12 0.8317 0.7702 0.0344  1 Os 1.95, 1 Mn 2.16

Results
final energy	-7.193	eV per atom
magnetic moment	3.001	μB/f.u.
symmetry	P2_1/c

---

[4]
The following is a DFT calculation (GGA+U) of a relaxed structure of TaMn2OsO.

Unit cell a=5.2012 b=5.2012 c=3.7182 alpha=90.00 beta=90.00 gamma=90.00
Closest atoms and distances in Å follow each position.
Fractional coordinates of all 5 atoms:
Ta1 0.0000 0.0000 0.0000  2 O 1.86
Mn1 0.0000 0.5000 0.0000  2 Ta 2.60
Mn2 0.5000 0.0000 0.0000  2 Ta 2.60
Os1 0.5000 0.5000 0.5000  8 Mn 3.20
O1 0.0000 0.0000 0.5000  2 Ta 1.86

Results
final energy	-7.600	eV per atom
magnetic moment	6.978	μB/f.u.
symmetry	P4/mmm

---

[5]
The following is a DFT calculation (GGA+U) of a relaxed structure of Mn2TlOsO8.

Unit cell a=4.7780 b=6.5439 c=4.7843 alpha=90.00 beta=93.97 gamma=90.00
Closest atoms and distances in Å follow each position.
Fractional coordinates of all 12 atoms:
Mn1 0.0000 0.2461 0.0000  6 O 2.03-2.19
Mn2 0.0000 0.7539 0.0000  6 O 2.03-2.19
Tl1 0.5000 0.5000 0.5000  2 O 2.10
Os1 0.5000 0.0000 0.5000  6 O 1.87-1.93
O1 0.1787 0.5000 0.1774  2 Mn 2.03, 1 Tl 2.10
O2 0.2048 0.0000 0.2036  1 Os 1.93, 2 Mn 2.09
O3 0.3104 0.2023 0.6880  1 Os 1.87
O4 0.3104 0.7977 0.6880  1 Os 1.87
O5 0.6896 0.2023 0.3120  1 Os 1.87
O6 0.6896 0.7977 0.3120  1 Os 1.87
O7 0.7952 0.0000 0.7964  1 Os 1.93, 2 Mn 2.09
O8 0.8213 0.5000 0.8226  2 Mn 2.03, 1 Tl 2.10

Results
final energy	-6.749	eV per atom
magnetic moment	8.920	μB/f.u.
symmetry	P2/m

---

[6]
The following is a DFT calculation (GGA+U) of a relaxed structure of Mn2Tl2OsO6.

Unit cell a=5.5445 b=5.5445 c=6.6779 alpha=97.72 beta=97.72 gamma=119.74
Closest atoms and distances in Å follow each position.
Fractional coordinates of all 11 atoms:
Mn1 0.1645 0.8355 0.0000  6 O 2.21-2.24
Mn2 0.8355 0.1645 0.0000  6 O 2.21-2.24
Tl1 0.3309 0.6691 0.5000  6 O 2.76-2.97
Tl2 0.6691 0.3309 0.5000  6 O 2.76-2.97
Os1 0.5000 0.5000 0.0000  6 O 1.97-1.98
O1 0.1475 0.4483 0.8380  1 Os 1.97
O2 0.2601 0.2601 0.1722  1 Os 1.98
O3 0.4483 0.1475 0.8380  1 Os 1.97
O4 0.5517 0.8525 0.1620  1 Os 1.97
O5 0.7399 0.7399 0.8278  1 Os 1.98
O6 0.8525 0.5517 0.1620  1 Os 1.97

Results
final energy	-6.608	eV per atom
magnetic moment	12.030	μB/f.u.
symmetry	C2/m

---

[7]
The following is a DFT calculation (GGA+U) of a relaxed structure of MnTl2OsO8.

Unit cell a=4.9663 b=6.6270 c=4.9873 alpha=90.00 beta=94.03 gamma=90.00
Closest atoms and distances in Å follow each position.
Fractional coordinates of all 12 atoms:
Mn1 0.0000 0.0000 0.0000  2 O 1.93
Tl1 0.5000 0.2450 0.5000  6 O 2.19-2.40
Tl2 0.5000 0.7550 0.5000  6 O 2.19-2.40
Os1 0.0000 0.5000 0.0000  6 O 1.88-1.92
O1 0.1751 0.2886 0.8299  1 Os 1.88
O2 0.1751 0.7114 0.8299  1 Os 1.88
O3 0.2794 0.5000 0.2850  1 Os 1.92
O4 0.2822 0.0000 0.2860  1 Mn 1.93
O5 0.7178 0.0000 0.7140  1 Mn 1.93
O6 0.7206 0.5000 0.7150  1 Os 1.92
O7 0.8249 0.2886 0.1701  1 Os 1.88
O8 0.8249 0.7114 0.1701  1 Os 1.88

Results
final energy	-6.120	eV per atom
magnetic moment	4.914	μB/f.u.
symmetry	P2/m

---

[8]
The following is a DFT calculation (GGA+U) of a relaxed structure of TmMnOsO6.

Unit cell a=5.3829 b=5.3829 c=8.9512 alpha=90.00 beta=90.00 gamma=120.00
Closest atoms and distances in Å follow each position.
Fractional coordinates of all 18 atoms:
Tm1 0.3333 0.6667 0.2500  6 O 2.21
Tm2 0.6667 0.3333 0.7500  6 O 2.21
Mn1 0.0000 0.0000 0.0000  6 O 2.21
Mn2 0.0000 0.0000 0.5000  6 O 2.21
Os1 0.3333 0.6667 0.7500  6 O 1.92
Os2 0.6667 0.3333 0.2500  6 O 1.92
O1 0.0423 0.3689 0.6299  1 Os 1.92
O2 0.0423 0.6734 0.8701  1 Os 1.92
O3 0.3266 0.3689 0.8701  1 Os 1.92
O4 0.3266 0.9577 0.6299  1 Os 1.92
O5 0.3689 0.0423 0.1299  1 Os 1.92
O6 0.3689 0.3266 0.3701  1 Os 1.92
O7 0.6311 0.6734 0.6299  1 Os 1.92
O8 0.6311 0.9577 0.8701  1 Os 1.92
O9 0.6734 0.0423 0.3701  1 Os 1.92
O10 0.6734 0.6311 0.1299  1 Os 1.92
O11 0.9577 0.3266 0.1299  1 Os 1.92
O12 0.9577 0.6311 0.3701  1 Os 1.92

Results
final energy	-7.685	eV per atom
magnetic moment	3.982	μB/f.u.
symmetry	P-31c

---

[9]
The following is a DFT calculation (GGA+U) of a relaxed structure of MnVOsO6.

Unit cell a=5.0294 b=5.0294 c=9.2946 alpha=90.00 beta=90.00 gamma=120.00
Closest atoms and distances in Å follow each position.
Fractional coordinates of all 18 atoms:
Mn1 0.0000 0.0000 0.0000  6 O 2.18
Mn2 0.0000 0.0000 0.5000  6 O 2.18
V1 0.3333 0.6667 0.2500  6 O 1.92
V2 0.6667 0.3333 0.7500  6 O 1.92
Os1 0.3333 0.6667 0.7500  6 O 1.97
Os2 0.6667 0.3333 0.2500  6 O 1.97
O1 0.0086 0.3579 0.1356  1 V 1.92, 1 Os 1.97
O2 0.0086 0.6507 0.3644  1 V 1.92, 1 Os 1.97
O3 0.3493 0.3579 0.3644  1 V 1.92, 1 Os 1.97
O4 0.3493 0.9914 0.1356  1 V 1.92, 1 Os 1.97
O5 0.3579 0.0086 0.6357  1 V 1.92, 1 Os 1.97
O6 0.3579 0.3493 0.8644  1 V 1.92, 1 Os 1.97
O7 0.6421 0.6507 0.1356  1 V 1.92, 1 Os 1.97
O8 0.6421 0.9914 0.3644  1 V 1.92, 1 Os 1.97
O9 0.6507 0.0086 0.8644  1 V 1.92, 1 Os 1.97
O10 0.6507 0.6421 0.6357  1 V 1.92, 1 Os 1.97
O11 0.9914 0.3493 0.6357  1 V 1.92, 1 Os 1.97
O12 0.9914 0.6421 0.8644  1 V 1.92, 1 Os 1.97

Results
final energy	-7.645	eV per atom
magnetic moment	1.992	μB/f.u.
symmetry	P-31c

---

[10]
The following is a DFT calculation (GGA+U) of a relaxed structure of MnZnOsO6.

Unit cell a=5.1548 b=5.1548 c=9.0249 alpha=90.00 beta=90.00 gamma=120.00
Closest atoms and distances in Å follow each position.
Fractional coordinates of all 18 atoms:
Mn1 0.0000 0.0000 0.0000  6 O 2.17
Mn2 0.0000 0.0000 0.5000  6 O 2.17
Zn1 0.3333 0.6667 0.2500  6 O 2.09
Zn2 0.6667 0.3333 0.7500  6 O 2.09
Os1 0.3333 0.6667 0.7500  6 O 1.89
Os2 0.6667 0.3333 0.2500  6 O 1.89
O1 0.0298 0.3662 0.6315  1 Os 1.89, 1 Zn 2.09
O2 0.0298 0.6636 0.8685  1 Os 1.89, 1 Zn 2.09
O3 0.3364 0.3662 0.8685  1 Os 1.89, 1 Zn 2.09
O4 0.3364 0.9702 0.6315  1 Os 1.89, 1 Zn 2.09
O5 0.3662 0.0298 0.1315  1 Os 1.89, 1 Zn 2.09
O6 0.3662 0.3364 0.3685  1 Os 1.89, 1 Zn 2.09
O7 0.6338 0.6636 0.6315  1 Os 1.89, 1 Zn 2.09
O8 0.6338 0.9702 0.8685  1 Os 1.89, 1 Zn 2.09
O9 0.6636 0.0298 0.3685  1 Os 1.89, 1 Zn 2.09
O10 0.6636 0.6338 0.1315  1 Os 1.89, 1 Zn 2.09
O11 0.9702 0.3364 0.1315  1 Os 1.89, 1 Zn 2.09
O12 0.9702 0.6338 0.3685  1 Os 1.89, 1 Zn 2.09

Results
final energy	-6.625	eV per atom
magnetic moment	4.875	μB/f.u.
symmetry	P-31c

---

[11]
The following is a DFT calculation (GGA+U) of a relaxed structure of MnZn2OsO8.

Unit cell a=4.7496 b=5.9642 c=4.7616 alpha=90.00 beta=94.96 gamma=90.00
Closest atoms and distances in Å follow each position.
Fractional coordinates of all 12 atoms:
Mn1 0.0000 0.0000 0.0000  6 O 1.87-1.99
Zn1 0.5000 0.2427 0.5000  4 O 1.98-2.03
Zn2 0.5000 0.7573 0.5000  4 O 1.98-2.03
Os1 0.0000 0.5000 0.0000  6 O 1.88-1.90
O1 0.1794 0.2592 0.8231  1 Os 1.90, 1 Mn 1.99
O2 0.1794 0.7408 0.8231  1 Os 1.90, 1 Mn 1.99
O3 0.2890 0.0000 0.2913  1 Mn 1.87, 2 Zn 1.98
O4 0.2912 0.5000 0.2933  1 Os 1.88, 2 Zn 2.03
O5 0.7088 0.5000 0.7067  1 Os 1.88, 2 Zn 2.03
O6 0.7110 0.0000 0.7087  1 Mn 1.87, 2 Zn 1.98
O7 0.8206 0.2592 0.1769  1 Os 1.90, 1 Mn 1.99
O8 0.8206 0.7408 0.1769  1 Os 1.90, 1 Mn 1.99

Results
final energy	-6.100	eV per atom
magnetic moment	2.864	μB/f.u.
symmetry	P2/m

---

[12]
The following is a DFT calculation (GGA+U) of a relaxed structure of Mn2PO2.

Unit cell a=3.5996 b=3.5996 c=10.8241 alpha=90.00 beta=90.00 gamma=90.00
Closest atoms and distances in Å follow each position.
Fractional coordinates of all 10 atoms:
Mn1 0.0000 0.0000 0.1597  4 O 2.05
Mn2 0.0000 0.0000 0.8403  4 O 2.05
Mn3 0.5000 0.5000 0.3403  4 O 2.05
Mn4 0.5000 0.5000 0.6597  4 O 2.05
P1 0.0000 0.0000 0.5000  8 Mn 3.08, 8 O 3.25
P2 0.5000 0.5000 0.0000  8 Mn 3.08, 8 O 3.25
O1 0.0000 0.5000 0.2500  4 Mn 2.05
O2 0.0000 0.5000 0.7500  4 Mn 2.05
O3 0.5000 0.0000 0.2500  4 Mn 2.05
O4 0.5000 0.0000 0.7500  4 Mn 2.05

Results
magnetic moment	7.545	μB/f.u.
symmetry	I4/mmm
polymorph energy (0 for the lowest one)	0.000	eV/atom

---

Copy entry 6 word for word.
The following is a DFT calculation (GGA+U) of a relaxed structure of Mn2Tl2OsO6.

Unit cell a=5.5445 b=5.5445 c=6.6779 alpha=97.72 beta=97.72 gamma=119.74
Closest atoms and distances in Å follow each position.
Fractional coordinates of all 11 atoms:
Mn1 0.1645 0.8355 0.0000  6 O 2.21-2.24
Mn2 0.8355 0.1645 0.0000  6 O 2.21-2.24
Tl1 0.3309 0.6691 0.5000  6 O 2.76-2.97
Tl2 0.6691 0.3309 0.5000  6 O 2.76-2.97
Os1 0.5000 0.5000 0.0000  6 O 1.97-1.98
O1 0.1475 0.4483 0.8380  1 Os 1.97
O2 0.2601 0.2601 0.1722  1 Os 1.98
O3 0.4483 0.1475 0.8380  1 Os 1.97
O4 0.5517 0.8525 0.1620  1 Os 1.97
O5 0.7399 0.7399 0.8278  1 Os 1.98
O6 0.8525 0.5517 0.1620  1 Os 1.97

Results
final energy	-6.608	eV per atom
magnetic moment	12.030	μB/f.u.
symmetry	C2/m